Run w
Below is a geometry-optimized GdBiH structure, with properties calculated at the PBE level.

The structure belongs to space group Cmcm (No. 63); the cell edges are 3.6874, 12.2400 and 6.4085 Å and the angles 90.00°, 90.00° and 90.00°. The distinct sites, in fractional coordinates, are Gd at (0.0000, 0.1434, 0.2500), Bi at (0.0000, 0.1269, 0.7500) and H at (0.0000, 0.4339, 0.7500).

As for the size of the total moment: 2.317 μB/atom. The crystal system is orthorhombic.

Run x
Below is a geometry-optimized GdBiH structure, with properties calculated at the PBE level.

The structure belongs to space group P-6m2 (No. 187); the cell edges are 3.8412, 3.8412 and 4.8943 Å and the angles 90.00°, 90.00° and 120.00°. The distinct sites, in fractional coordinates, are Gd at (0.0000, 0.0000, 0.0000), Bi at (0.6667, 0.3333, 0.5000) and H at (0.3333, 0.6667, 0.0000).

As for the size of the total moment: 2.304 μB/atom. The crystal system is hexagonal.

Run y
Below is a geometry-optimized GdBiH structure, with properties calculated at the PBE level.

The structure belongs to space group I4mm (No. 107); the cell edges are 4.5092, 4.5092 and 7.5430 Å and the angles 90.00°, 90.00° and 90.00°. The distinct sites, in fractional coordinates, are Gd at (0.0000, 0.0000, 0.0000), Bi at (0.0000, 0.0000, 0.5635) and H at (0.0000, 0.0000, 0.2758).

As for the size of the total moment: 2.315 μB/atom. The crystal system is tetragonal.

Going by the energies, run x is most stable and the next is 213 meV per atom up.

Run w
Below is a geometry-optimized GdHo2Bi structure, with properties calculated at the PBE level.

The structure belongs to space group P4/mmm (No. 123); the cell edges are 4.9181, 4.9181 and 4.7945 Å and the angles 90.00°, 90.00° and 90.00°. The distinct sites, in fractional coordinates, are Gd at (0.0000, 0.0000, 0.0000), Ho at (0.0000, 0.5000, 0.5000) and Bi at (0.5000, 0.5000, 0.0000).

As for the size of the total moment: 1.996 μB/atom. The crystal system is tetragonal.

Run x
Below is a geometry-optimized GdHo2Bi structure, with properties calculated at the PBE level.

The structure belongs to space group R-3m (No. 166, hexagonal axes); the cell edges are 3.6199, 3.6199 and 32.6360 Å and the angles 90.00°, 90.00° and 120.00°. The distinct sites, in fractional coordinates, are Gd at (0.0000, 0.0000, 0.0000), Ho at (0.0000, 0.0000, 0.2462) and Bi at (0.0000, 0.0000, 0.5000).

As for the size of the total moment: 1.815 μB/atom. The crystal system is trigonal.

Going by the energies, run w is most stable and the next is 162 meV per atom up.

Run w
Below is a geometry-optimized Gd2BiI structure, with properties calculated at the PBE level.

The structure belongs to space group Fm-3m (No. 225); the cell edges are 7.7962, 7.7962 and 7.7962 Å and the angles 90.00°, 90.00° and 90.00°. The distinct sites, in fractional coordinates, are Gd at (0.2500, 0.2500, 0.2500), Bi at (0.0000, 0.0000, 0.0000) and I at (0.0000, 0.0000, 0.5000).

As for the size of the total moment: 3.863 μB/atom. The crystal system is cubic.

Run x
Below is a geometry-optimized Gd2BiI structure, with properties calculated at the PBE level.

The structure belongs to space group R-3m (No. 166, hexagonal axes); the cell edges are 4.5817, 4.5817 and 21.2161 Å and the angles 90.00°, 90.00° and 120.00°. The distinct sites, in fractional coordinates, are Gd at (0.0000, 0.0000, 0.2464), Bi at (0.0000, 0.0000, 0.5000) and I at (0.0000, 0.0000, 0.0000).

As for the size of the total moment: 3.459 μB/atom. The crystal system is trigonal.

Going by the energies, run x is most stable and the next is 14 meV per atom up.

Run w
Below is a geometry-optimized GdInBi2 structure, with properties calculated at the PBE level.

The structure belongs to space group R-3m (No. 166, hexagonal axes); the cell edges are 3.4653, 3.4653 and 37.6775 Å and the angles 90.00°, 90.00° and 120.00°. The distinct sites, in fractional coordinates, are Gd at (0.0000, 0.0000, 0.0000), In at (0.0000, 0.0000, 0.5000) and Bi at (0.0000, 0.0000, 0.0853).

As for the size of the total moment: 1.828 μB/atom. The crystal system is trigonal.

Run x
Below is a geometry-optimized GdInBi2 structure, with properties calculated at the PBE level.

The structure belongs to space group P4/mmm (No. 123); the cell edges are 4.2340, 4.2340 and 6.6825 Å and the angles 90.00°, 90.00° and 90.00°. The distinct sites, in fractional coordinates, are Gd at (0.0000, 0.0000, 0.0000), In at (0.0000, 0.0000, 0.5000) and Bi at (0.5000, 0.5000, 0.2389).

As for the size of the total moment: 1.793 μB/atom. The crystal system is tetragonal.

Going by the energies, run x is most stable and the next is 512 meV per atom up.

Run w
Below is a geometry-optimized Gd2InBi structure, with properties calculated at the PBE level.

The structure belongs to space group P4/mmm (No. 123); the cell edges are 5.0446, 5.0446 and 4.4429 Å and the angles 90.00°, 90.00° and 90.00°. The distinct sites, in fractional coordinates, are Gd at (0.0000, 0.5000, 0.0000), In at (0.0000, 0.0000, 0.5000) and Bi at (0.5000, 0.5000, 0.5000).

As for the size of the total moment: 3.765 μB/atom. The crystal system is tetragonal.

Run x
Below is a geometry-optimized Gd2InBi structure, with properties calculated at the PBE level.

The structure belongs to space group P4/mmm (No. 123); the cell edges are 4.0600, 4.0600 and 6.9304 Å and the angles 90.00°, 90.00° and 90.00°. The distinct sites, in fractional coordinates, are Gd at (0.0000, 0.0000, 0.2502), In at (0.5000, 0.5000, 0.0000) and Bi at (0.5000, 0.5000, 0.5000).

As for the size of the total moment: 3.701 μB/atom. The crystal system is tetragonal.

Going by the energies, run x is most stable and the next is 27 meV per atom up.

Run w
Below is a geometry-optimized Gd2InBi structure, with properties calculated at the PBE level.

The structure belongs to space group R-3m (No. 166, hexagonal axes); the cell edges are 4.2477, 4.2477 and 24.4051 Å and the angles 90.00°, 90.00° and 120.00°. The distinct sites, in fractional coordinates, are Gd at (0.0000, 0.0000, 0.2468), In at (0.0000, 0.0000, 0.0000) and Bi at (0.0000, 0.0000, 0.5000).

As for the size of the total moment: 3.592 μB/atom. The crystal system is trigonal.

Run x
Below is a geometry-optimized Gd2InBi structure, with properties calculated at the PBE level.

The structure belongs to space group Fm-3m (No. 225); the cell edges are 7.7325, 7.7325 and 7.7325 Å and the angles 90.00°, 90.00° and 90.00°. The distinct sites, in fractional coordinates, are Gd at (0.2500, 0.2500, 0.2500), In at (0.0000, 0.0000, 0.0000) and Bi at (0.0000, 0.0000, 0.5000).

As for the size of the total moment: 3.711 μB/atom. The crystal system is cubic.

Going by the energies, run w is most stable and the next is 18 meV per atom up.